Entry 1:
# KSn2Sb4 | Alexandria | PBE | optimized geometry
# - calculated volume (Å³/cell) = 488
# - total energy (eV/atom) = -3.6963
# - magnetic moment (μB/atom) = 0.000
# - uncorrected formation energy (meV per atom) = -40
data_KSn2Sb4
_chemical_formula_sum 'K2 Sn4 Sb8'
_cell_length_a 6.300
_cell_length_b 9.153
_cell_length_c 9.978
_cell_angle_alpha 115.66
_cell_angle_beta 107.07
_cell_angle_gamma 91.65
_space_group_name_H-M_alt 'P 1'
_space_group_IT_number 1
loop_
_space_group_symop_operation_xyz
'x,y,z'
loop_
_atom_site_label
_atom_site_type_symbol
_atom_site_fract_x
_atom_site_fract_y
_atom_site_fract_z
_atom_site_occupancy
K1 K 0.000 0.000 0.000 1
K2 K 0.059 0.721 0.387 1
Sn1 Sn 0.052 0.190 0.692 1
Sn2 Sn 0.452 0.707 0.075 1
Sn3 Sn 0.512 0.362 0.687 1
Sn4 Sn 0.581 0.341 0.304 1
Sb1 Sb 0.159 0.411 0.042 1
Sb2 Sb 0.276 0.656 0.737 1
Sb3 Sb 0.395 0.059 0.365 1
Sb4 Sb 0.425 0.026 0.819 1
Sb5 Sb 0.648 0.920 0.585 1
Sb6 Sb 0.685 0.395 0.021 1
Sb7 Sb 0.780 0.609 0.645 1
Sb8 Sb 0.835 0.076 0.331 1

Entry 2:
# Ca3CuSb | Alexandria | PBE | optimized geometry
# - calculated volume (Å³/cell) = 158
# - distance to the lowest polymorph of the same formula (meV/atom) = 0
# - total energy (eV/atom) = -3.0842
# - magnetic moment (μB/atom) = 0.000
# - uncorrected formation energy (meV per atom) = -240
data_Ca3CuSb
_chemical_formula_sum 'Ca3 Cu1 Sb1'
_cell_length_a 5.401
_cell_length_b 5.401
_cell_length_c 5.401
_cell_angle_alpha 90.00
_cell_angle_beta 90.00
_cell_angle_gamma 90.00
_space_group_name_H-M_alt 'P m -3 m'
_space_group_IT_number 221
_space_group_name_Hall '-P 4 2 3'
loop_
_atom_site_label
_atom_site_type_symbol
_atom_site_fract_x
_atom_site_fract_y
_atom_site_fract_z
_atom_site_occupancy
Ca1 Ca 0.000 0.000 0.500 1
Cu1 Cu 0.000 0.000 0.000 1
Sb1 Sb 0.500 0.500 0.500 1

Entry 3:
# Cd3InPt3 | Alexandria | PBE | optimized geometry
# - calculated volume (Å³/cell) = 415
# - total energy (eV/atom) = -3.6851
# - calculated formation energy (eV/atom) = -0.313
# - magnetic moment (μB/atom) = 0.000
data_Cd3InPt3
_chemical_formula_sum 'Cd9 In3 Pt9'
_cell_length_a 9.1602
_cell_length_b 9.1602
_cell_length_c 5.7155
_cell_angle_alpha 90.00
_cell_angle_beta 90.00
_cell_angle_gamma 120.00
_space_group_name_H-M_alt 'R -3 m'
_space_group_IT_number 166
_space_group_name_Hall '-R 3 2"'
loop_
_atom_site_label
_atom_site_type_symbol
_atom_site_fract_x
_atom_site_fract_y
_atom_site_fract_z
_atom_site_occupancy
Cd1 Cd 0.0000 0.5000 0.0000 1
In1 In 0.0000 0.0000 0.0000 1
Pt1 Pt 0.0000 0.5000 0.5000 1

Entry 4:
# Pr6Sb3Se2S | Alexandria | PBE | optimized geometry
# - calculated volume (Å³/cell) = 720
# - total energy (eV/atom) = -5.8838
# - magnetic moment (μB/atom) = 0.000
# - uncorrected formation energy (meV per atom) = -1539
data_Pr6Sb3Se2S
_chemical_formula_sum 'Pr12 Sb6 Se4 S2'
_cell_length_a 19.150
_cell_length_b 4.400
_cell_length_c 8.768
_cell_angle_alpha 90.00
_cell_angle_beta 103.09
_cell_angle_gamma 90.00
_space_group_name_H-M_alt 'C 1 2/m 1'
_space_group_IT_number 12
loop_
_space_group_symop_operation_xyz
'x,y,z'
'-x,-y,-z'
'-x,y,-z'
'x,-y,z'
'x+1/2,y+1/2,z'
'-x+1/2,-y+1/2,-z'
'-x+1/2,y+1/2,-z'
'x+1/2,-y+1/2,z'
loop_
_atom_site_label
_atom_site_type_symbol
_atom_site_fract_x
_atom_site_fract_y
_atom_site_fract_z
_atom_site_occupancy
Pr1 Pr 0.001 0.000 0.235 1
Pr2 Pr 0.159 0.500 0.086 1
Pr3 Pr 0.168 0.500 0.579 1
Sb1 Sb 0.000 0.500 0.500 1
Sb2 Sb 0.169 0.000 0.835 1
Se1 Se 0.166 0.000 0.334 1
S1 S 0.000 0.500 0.000 1

Entry 5:
# NaCu2Hg2 | Alexandria | PBE | optimized geometry
# - calculated volume (Å³/cell) = 191
# - distance to the lowest polymorph of the same formula (meV/atom) = 47
# - total energy (eV/atom) = -1.9336
# - calculated formation energy (eV/atom) = 0.089
# - magnetic moment (μB/atom) = 0.000
data_NaCu2Hg2
_chemical_formula_sum 'Na2 Cu4 Hg4'
_cell_length_a 7.992
_cell_length_b 7.992
_cell_length_c 2.991
_cell_angle_alpha 90.00
_cell_angle_beta 90.00
_cell_angle_gamma 90.00
_space_group_name_H-M_alt 'P 4/m b m'
_space_group_IT_number 127
_space_group_name_Hall '-P 4 2ab'
loop_
_atom_site_label
_atom_site_type_symbol
_atom_site_fract_x
_atom_site_fract_y
_atom_site_fract_z
_atom_site_occupancy
Na1 Na 0.000 0.000 0.000 1
Cu1 Cu 0.152 0.348 0.500 1
Hg1 Hg 0.147 0.647 0.000 1

Entry 6:
# TeS2ClO | Alexandria | PBE | optimized geometry
# - calculated volume (Å³/cell) = 135
# - distance to the lowest polymorph of the same formula (meV/atom) = 191
# - total energy (eV/atom) = -2.7267
# - magnetic moment (μB/atom) = 0.557
# - uncorrected formation energy (meV per atom) = 914
data_TeS2ClO
_chemical_formula_sum 'Te1 S2 Cl1 O1'
_cell_length_a 5.090
_cell_length_b 5.090
_cell_length_c 5.206
_cell_angle_alpha 90.00
_cell_angle_beta 90.00
_cell_angle_gamma 90.00
_space_group_name_H-M_alt 'P 4/m m m'
_space_group_IT_number 123
_space_group_name_Hall '-P 4 2'
loop_
_atom_site_label
_atom_site_type_symbol
_atom_site_fract_x
_atom_site_fract_y
_atom_site_fract_z
_atom_site_occupancy
Te1 Te 0.000 0.000 0.000 1
S1 S 0.000 0.500 0.000 1
Cl1 Cl 0.000 0.000 0.500 1
O1 O 0.500 0.500 0.500 1